1.
VASP calculation (GGA-PBE) on a geometry-optimized La3TlO structure.

Unit cell a=5.725 b=5.725 c=9.556 alpha=90.00 beta=90.00 gamma=120.00
Atoms (fractional coordinates):
1 La 0.667 0.333 0.589
2 La 0.000 0.000 0.250
3 La 0.333 0.667 0.411
4 La 0.333 0.667 0.089
5 La 0.000 0.000 0.750
6 La 0.667 0.333 0.911
7 Tl 0.333 0.667 0.750
8 Tl 0.667 0.333 0.250
9 O 0.000 0.000 0.500
10 O 0.000 0.000 0.000

* formation energy from raw total energies: -981 meV/atom
* calculated volume: 27.12 Å³/atom
* calculated total energy: -5.40 eV/atom
* total magnetic moment: 0.00 μB/f.u.


2.
VASP calculation (GGA-PBE) on a geometry-optimized La3TlO structure.

Unit cell a=5.444 b=5.444 c=5.444 alpha=86.51 beta=86.51 gamma=86.51
Atoms (fractional coordinates):
1 La 0.523 0.024 0.024
2 La 0.024 0.024 0.523
3 La 0.024 0.523 0.024
4 O 0.816 0.816 0.816
5 Tl 0.487 0.487 0.487

* formation energy from raw total energies: -1043 meV/atom
* calculated volume: 32.10 Å³/atom
* calculated total energy: -5.46 eV/atom
* total magnetic moment: 0.00 μB/f.u.


3.
VASP calculation (GGA-PBE) on a geometry-optimized LaTlO structure.

Unit cell a=4.036 b=4.036 c=10.770 alpha=79.20 beta=79.20 gamma=60.00
Atoms (fractional coordinates):
1 Tl 0.867 0.867 0.399
2 Tl 0.133 0.133 0.601
3 O 0.696 0.696 0.913
4 O 0.304 0.304 0.087
5 La 0.618 0.618 0.145
6 La 0.382 0.382 0.855

* formation energy from raw total energies: -2000 meV/atom
* calculated volume: 24.73 Å³/atom
* calculated total energy: -6.08 eV/atom
* total magnetic moment: 0.00 μB/f.u.


4.
VASP calculation (GGA-PBE) on a geometry-optimized LaTlO3 structure.

Unit cell a=4.473 b=4.473 c=4.473 alpha=90.00 beta=90.00 gamma=90.00
Atoms (fractional coordinates):
1 Tl 0.500 0.500 0.500
2 O 0.000 0.500 0.000
3 O 0.000 0.000 0.500
4 O 0.500 0.000 0.000
5 La 0.000 0.000 0.000

* formation energy from raw total energies: -1402 meV/atom
* calculated volume: 17.90 Å³/atom
* calculated total energy: -5.84 eV/atom
* total magnetic moment: 0.00 μB/f.u.


5.
VASP calculation (GGA-PBE) on a geometry-optimized La3TlO structure.

Unit cell a=7.219 b=6.892 c=7.265 alpha=89.99 beta=102.65 gamma=118.42
Atoms (fractional coordinates):
1 La 0.761 0.241 0.376
2 La 0.331 0.361 0.054
3 La 0.170 0.777 0.238
4 La 0.169 0.749 0.737
5 La 0.760 0.876 0.876
6 La 0.332 0.328 0.554
7 O 0.410 0.165 0.307
8 O 0.410 0.602 0.807
9 Tl 0.769 0.772 0.389
10 Tl 0.771 0.354 0.890

* formation energy from raw total energies: -1274 meV/atom
* calculated volume: 30.79 Å³/atom
* calculated total energy: -5.70 eV/atom
* total magnetic moment: 0.00 μB/f.u.


6.
VASP calculation (GGA-PBE) on a geometry-optimized La2TlO structure.

Unit cell a=4.801 b=4.801 c=9.417 alpha=90.05 beta=90.05 gamma=90.00
Atoms (fractional coordinates):
1 La 0.750 0.250 0.500
2 La 0.751 0.751 0.832
3 La 0.249 0.249 0.168
4 La 0.250 0.750 0.500
5 O 0.750 0.750 0.580
6 O 0.250 0.250 0.420
7 Tl 0.251 0.251 0.799
8 Tl 0.749 0.749 0.201

* formation energy from raw total energies: -1600 meV/atom
* calculated volume: 27.13 Å³/atom
* calculated total energy: -5.89 eV/atom
* total magnetic moment: 0.00 μB/f.u.


7.
VASP calculation (GGA-PBE) on a geometry-optimized La3TlO structure.

Unit cell a=3.690 b=6.432 c=6.432 alpha=83.77 beta=90.00 gamma=90.00
Atoms (fractional coordinates):
1 Tl 0.500 0.071 0.929
2 La 0.000 0.407 0.593
3 La 0.500 0.557 0.092
4 La 0.500 0.908 0.443
5 O 0.000 0.684 0.316

* formation energy from raw total energies: -1055 meV/atom
* calculated volume: 30.36 Å³/atom
* calculated total energy: -5.48 eV/atom
* total magnetic moment: 0.00 μB/f.u.


8.
VASP calculation (GGA-PBE) on a geometry-optimized LaTl3O structure.

Unit cell a=6.217 b=6.217 c=6.217 alpha=90.00 beta=90.00 gamma=90.00
Atoms (fractional coordinates):
1 La 0.000 0.000 0.000
2 O 0.500 0.500 0.500
3 Tl 0.000 0.000 0.500
4 Tl 0.000 0.500 0.000
5 Tl 0.500 0.000 0.000

* formation energy from raw total energies: 978 meV/atom
* calculated volume: 48.06 Å³/atom
* calculated total energy: -2.42 eV/atom
* total magnetic moment: 0.00 μB/f.u.


9.
VASP calculation (GGA-PBE) on a geometry-optimized La2TlO2 structure.

Unit cell a=4.128 b=4.128 c=7.651 alpha=105.65 beta=105.65 gamma=90.00
Atoms (fractional coordinates):
1 Tl 0.000 0.000 0.000
2 O 0.750 0.250 0.500
3 O 0.250 0.750 0.500
4 La 0.666 0.666 0.331
5 La 0.334 0.334 0.669

* formation energy from raw total energies: -2443 meV/atom
* calculated volume: 24.10 Å³/atom
* calculated total energy: -6.87 eV/atom
* total magnetic moment: 1.20 μB/f.u.


10.
VASP calculation (GGA-PBE) on a geometry-optimized La3TlO structure.

Unit cell a=7.144 b=7.143 c=7.129 alpha=80.50 beta=80.48 gamma=118.38
Atoms (fractional coordinates):
1 O 0.222 0.061 0.190
2 O 0.596 0.687 0.190
3 La 0.478 0.943 0.206
4 La 0.973 0.438 0.704
5 La 0.978 0.862 0.018
6 La 0.975 0.987 0.498
7 La 0.522 0.440 0.498
8 La 0.397 0.443 0.017
9 Tl 0.920 0.385 0.230
10 Tl 0.447 0.912 0.710

* formation energy from raw total energies: -1274 meV/atom
* calculated volume: 30.30 Å³/atom
* calculated total energy: -5.70 eV/atom
* total magnetic moment: 0.00 μB/f.u.


11.
VASP calculation (GGA-PBE) on a geometry-optimized LaTlO3 structure.

Unit cell a=3.980 b=5.863 c=9.060 alpha=117.19 beta=90.00 gamma=90.00
Atoms (fractional coordinates):
1 Tl 0.750 0.813 0.163
2 Tl 0.250 0.723 0.837
3 O 0.750 0.566 0.892
4 O 0.250 0.866 0.652
5 O 0.750 0.670 0.348
6 O 0.750 0.197 0.381
7 O 0.250 0.970 0.108
8 O 0.250 0.339 0.619
9 La 0.250 0.431 0.387
10 La 0.750 0.106 0.613

* formation energy from raw total energies: -2045 meV/atom
* calculated volume: 18.81 Å³/atom
* calculated total energy: -6.48 eV/atom
* total magnetic moment: 0.00 μB/f.u.


12.
VASP calculation (GGA-PBE) on a geometry-optimized La2Tl2O structure.

Unit cell a=6.782 b=6.782 c=5.997 alpha=90.00 beta=90.00 gamma=90.00
Atoms (fractional coordinates):
1 Tl 0.343 0.157 0.500
2 Tl 0.657 0.843 0.500
3 Tl 0.157 0.657 0.500
4 Tl 0.843 0.343 0.500
5 O 0.500 0.500 0.000
6 O 0.000 0.000 0.000
7 La 0.178 0.322 0.000
8 La 0.678 0.178 0.000
9 La 0.822 0.678 0.000
10 La 0.322 0.822 0.000

* formation energy from raw total energies: -1091 meV/atom
* calculated volume: 27.58 Å³/atom
* calculated total energy: -5.00 eV/atom
* total magnetic moment: 0.00 μB/f.u.


13.
VASP calculation (GGA-PBE) on a geometry-optimized LaTlO4 structure.

Unit cell a=3.924 b=3.926 c=6.080 alpha=83.85 beta=83.90 gamma=74.15
Atoms (fractional coordinates):
1 O 0.038 0.522 0.743
2 O 0.525 0.035 0.743
3 O 0.964 0.472 0.254
4 O 0.478 0.959 0.254
5 La 0.501 0.497 0.998
6 Tl 0.001 0.997 0.498

* formation energy from raw total energies: -1408 meV/atom
* calculated volume: 14.88 Å³/atom
* calculated total energy: -5.93 eV/atom
* total magnetic moment: 0.00 μB/f.u.


14.
VASP calculation (GGA-PBE) on a geometry-optimized La3TlO structure.

Unit cell a=7.003 b=7.003 c=7.512 alpha=90.00 beta=90.00 gamma=120.65
Atoms (fractional coordinates):
1 La 0.000 0.000 0.000
2 La 0.000 0.000 0.500
3 La 0.496 0.041 0.250
4 La 0.959 0.504 0.250
5 La 0.504 0.959 0.750
6 La 0.041 0.496 0.750
7 Tl 0.463 0.537 0.250
8 Tl 0.537 0.463 0.750
9 O 0.880 0.120 0.750
10 O 0.120 0.880 0.250

* formation energy from raw total energies: -1092 meV/atom
* calculated volume: 31.69 Å³/atom
* calculated total energy: -5.51 eV/atom
* total magnetic moment: 0.00 μB/f.u.


15.
VASP calculation (GGA-PBE) on a geometry-optimized La3TlO structure.

Unit cell a=13.491 b=9.362 c=9.362 alpha=82.78 beta=125.40 gamma=54.60
Atoms (fractional coordinates):
1 Tl 0.561 0.185 0.961
2 Tl 0.939 0.461 0.685
3 Tl 0.439 0.815 0.039
4 Tl 0.061 0.539 0.315
5 La 0.100 0.211 0.183
6 La 0.600 0.317 0.289
7 La 0.925 0.322 0.371
8 La 0.900 0.789 0.817
9 La 0.400 0.418 0.440
10 La 0.400 0.683 0.711
11 La 0.075 0.678 0.629
12 La 0.575 0.871 0.822
13 La 0.600 0.582 0.560
14 La 0.425 0.129 0.178
15 La 0.100 0.940 0.918
16 La 0.900 0.060 0.082
17 O 0.750 0.184 0.684
18 O 0.250 0.816 0.316
19 O 0.250 0.542 0.042
20 O 0.750 0.458 0.958

* formation energy from raw total energies: -1204 meV/atom
* calculated volume: 28.28 Å³/atom
* calculated total energy: -5.63 eV/atom
* total magnetic moment: 0.00 μB/f.u.


16.
VASP calculation (GGA-PBE) on a geometry-optimized La2TlO structure.

Unit cell a=3.280 b=3.280 c=8.306 alpha=90.00 beta=90.00 gamma=90.00
Atoms (fractional coordinates):
1 La 0.000 0.000 0.193
2 La 0.000 0.000 0.807
3 O 0.500 0.500 0.000
4 Tl 0.500 0.500 0.500

* formation energy from raw total energies: -1221 meV/atom
* calculated volume: 22.35 Å³/atom
* calculated total energy: -5.52 eV/atom
* total magnetic moment: 0.00 μB/f.u.


17.
VASP calculation (GGA-PBE) on a geometry-optimized LaTlO4 structure.

Unit cell a=3.857 b=4.041 c=6.598 alpha=94.30 beta=90.00 gamma=118.50
Atoms (fractional coordinates):
1 O 0.398 0.797 0.110
2 O 0.101 0.202 0.403
3 O 0.662 0.324 0.786
4 O 0.844 0.687 0.698
5 Tl 0.427 0.854 0.483
6 La 0.068 0.136 0.019

* formation energy from raw total energies: -1629 meV/atom
* calculated volume: 15.00 Å³/atom
* calculated total energy: -6.15 eV/atom
* total magnetic moment: 0.00 μB/f.u.


18.
VASP calculation (GGA-PBE) on a geometry-optimized La3TlO structure.

Unit cell a=7.080 b=6.934 c=6.822 alpha=90.00 beta=121.10 gamma=90.00
Atoms (fractional coordinates):
1 La 0.249 0.250 0.505
2 La 0.758 0.499 0.998
3 La 0.751 0.750 0.495
4 La 0.242 0.999 0.002
5 La 0.758 0.001 0.998
6 La 0.242 0.501 0.002
7 O 0.055 0.250 0.109
8 O 0.945 0.750 0.891
9 Tl 0.731 0.250 0.464
10 Tl 0.269 0.750 0.536

* formation energy from raw total energies: -1243 meV/atom
* calculated volume: 28.67 Å³/atom
* calculated total energy: -5.66 eV/atom
* total magnetic moment: 0.27 μB/f.u.


19.
VASP calculation (GGA-PBE) on a geometry-optimized La3TlO structure.

Unit cell a=7.026 b=7.026 c=8.075 alpha=64.21 beta=64.21 gamma=90.00
Atoms (fractional coordinates):
1 Tl 0.622 0.122 0.756
2 Tl 0.878 0.378 0.244
3 La 0.118 0.862 0.763
4 La 0.138 0.882 0.237
5 La 0.625 0.625 0.750
6 La 0.118 0.375 0.763
7 La 0.375 0.375 0.250
8 La 0.625 0.882 0.237
9 O 0.000 0.000 0.000
10 O 0.250 0.750 0.500

* formation energy from raw total energies: -1033 meV/atom
* calculated volume: 31.43 Å³/atom
* calculated total energy: -5.45 eV/atom
* total magnetic moment: 0.00 μB/f.u.


20.
VASP calculation (GGA-PBE) on a geometry-optimized La3TlO structure.

Unit cell a=7.231 b=7.010 c=7.231 alpha=95.94 beta=81.78 gamma=59.21
Atoms (fractional coordinates):
1 La 0.069 0.932 0.168
2 La 0.521 0.868 0.459
3 La 0.508 0.336 0.277
4 La 0.559 0.447 0.780
5 La 0.017 0.821 0.665
6 La 0.055 0.400 0.986
7 Tl 0.552 0.917 0.967
8 Tl 0.024 0.351 0.478
9 O 0.403 0.631 0.537
10 O 0.174 0.637 0.909

* formation energy from raw total energies: -1281 meV/atom
* calculated volume: 30.48 Å³/atom
* calculated total energy: -5.70 eV/atom
* total magnetic moment: 0.00 μB/f.u.


21.
VASP calculation (GGA-PBE) on a geometry-optimized La2TlO2 structure.

Unit cell a=4.939 b=4.939 c=6.290 alpha=66.88 beta=66.88 gamma=90.00
Atoms (fractional coordinates):
1 O 0.740 0.740 0.520
2 O 0.260 0.260 0.480
3 La 0.750 0.250 0.500
4 La 0.250 0.750 0.500
5 Tl 0.000 0.000 0.000

* formation energy from raw total energies: -1988 meV/atom
* calculated volume: 25.52 Å³/atom
* calculated total energy: -6.42 eV/atom
* total magnetic moment: 0.00 μB/f.u.


22.
VASP calculation (GGA-PBE) on a geometry-optimized La3TlO structure.

Unit cell a=26.907 b=6.653 c=10.353 alpha=90.00 beta=162.78 gamma=90.00
Atoms (fractional coordinates):
1 La 0.702 0.103 0.061
2 La 0.404 0.880 0.562
3 La 0.361 0.421 0.263
4 La 0.639 0.579 0.737
5 La 0.298 0.897 0.939
6 La 0.096 0.380 0.938
7 La 0.202 0.397 0.561
8 La 0.904 0.620 0.062
9 La 0.861 0.079 0.763
10 La 0.139 0.921 0.237
11 La 0.798 0.603 0.439
12 La 0.596 0.120 0.438
13 Tl 0.521 0.343 0.949
14 Tl 0.479 0.657 0.051
15 Tl 0.979 0.843 0.551
16 Tl 0.021 0.157 0.449
17 O 0.532 0.760 0.672
18 O 0.468 0.240 0.328
19 O 0.032 0.740 0.172
20 O 0.968 0.260 0.828

* formation energy from raw total energies: -1222 meV/atom
* calculated volume: 27.43 Å³/atom
* calculated total energy: -5.64 eV/atom
* total magnetic moment: 0.00 μB/f.u.


23.
VASP calculation (GGA-PBE) on a geometry-optimized La3TlO structure.

Unit cell a=17.195 b=7.200 c=7.200 alpha=149.40 beta=140.01 gamma=39.99
Atoms (fractional coordinates):
1 La 0.634 0.680 0.320
2 La 0.119 0.219 0.781
3 La 0.881 0.781 0.219
4 La 0.622 0.449 0.551
5 La 0.366 0.320 0.680
6 La 0.378 0.551 0.449
7 Tl 0.129 0.943 0.057
8 Tl 0.871 0.057 0.943
9 O 0.619 0.072 0.928
10 O 0.381 0.928 0.072

* formation energy from raw total energies: -1202 meV/atom
* calculated volume: 27.56 Å³/atom
* calculated total energy: -5.62 eV/atom
* total magnetic moment: 0.00 μB/f.u.


24.
VASP calculation (GGA-PBE) on a geometry-optimized LaTl3O structure.

Unit cell a=5.096 b=5.096 c=5.096 alpha=90.00 beta=90.00 gamma=90.00
Atoms (fractional coordinates):
1 Tl 0.500 0.000 0.000
2 Tl 0.000 0.000 0.500
3 Tl 0.000 0.500 0.000
4 O 0.000 0.000 0.000
5 La 0.500 0.500 0.500

* formation energy from raw total energies: -260 meV/atom
* calculated volume: 26.47 Å³/atom
* calculated total energy: -3.66 eV/atom
* total magnetic moment: 0.00 μB/f.u.